DFT (PBE) results for a relaxed structure of Be2FeSi.

Summary:
total magnetic moment: 0.57 μB/f.u.
E_form (uncorrected): -0.243 eV per atom
crystal system: orthorhombic

```
Be2FeSi
1.0
-1.482 1.761 3.641
1.482 -1.761 3.641
1.482 1.761 -3.641
Be Fe Si
2 1 1
Cartesian
0.000 0.000 1.780
0.000 0.000 5.501
1.482 0.000 0.000
0.000 1.761 0.000
```

***

DFT (PBE) results for a relaxed structure of BeFe3Si.

Summary:
total magnetic moment: 5.86 μB/f.u.
E_form (uncorrected): 0.333 eV per atom
crystal system: cubic
energy above the most stable polymorph in this dataset: 0.0 meV/atom

```
BeFe3Si
1.0
6.351 0.000 0.000
0.000 6.351 0.000
0.000 0.000 6.351
Be Fe Si
4 12 4
Cartesian
0.774 0.774 0.774
2.402 5.577 3.949
3.949 2.402 5.577
5.577 3.949 2.402
0.565 2.342 2.178
0.834 4.172 3.740
0.997 5.786 5.517
2.178 0.565 2.342
2.342 2.178 0.565
2.611 4.009 5.354
3.740 0.834 4.172
4.009 5.354 2.611
4.172 3.740 0.834
5.354 2.611 4.009
5.517 0.997 5.786
5.786 5.517 0.997
0.228 3.403 6.123
2.948 2.948 2.948
3.403 6.123 0.228
6.123 0.228 3.403
```

***

Calculated VASP energy (eV/atom), listed in the same order as above: -5.577 -6.574